# Tl2Sn3BiAu4

A geometry-optimized Tl2Sn3BiAu4 structure (PBE, Alexandria).

Properties
- symmetry = P-4m2, No. 115
- D(E_F) (states/eV/f.u.) = 4.1
- formation energy (eV/atom) = -0.09
- V (Å³ per cell) = 271.56
- uncorrected energy (eV per atom) = -3.46

Lattice parameters (Å, degrees): 4.941 4.941 11.122 90.00 90.00 90.00
Fractional coordinates of all 10 atoms:
Tl 0.000 0.500 0.231
Tl 0.500 0.000 0.769
Sn 0.000 0.500 0.881
Sn 0.500 0.000 0.119
Sn 0.500 0.500 0.500
Bi 0.000 0.000 0.500
Au 0.000 0.000 0.000
Au 0.000 0.500 0.637
Au 0.500 0.000 0.363
Au 0.500 0.500 0.000

# Se2ClF

A geometry-optimized Se2ClF structure (PBE, Alexandria).

Properties
- symmetry = P2_1/c, No. 14
- V (Å³ per cell) = 448.30
- relative energy among the computed polymorphs (eV per atom) = 0.000
- uncorrected energy (eV per atom) = -3.16

Lattice parameters (Å, degrees): 7.017 6.485 11.013 90.00 116.54 90.00
Fractional coordinates of all 16 atoms:
Se 0.141 0.130 0.031
Se 0.141 0.370 0.531
Se 0.353 0.629 0.469
Se 0.353 0.871 0.969
Se 0.647 0.129 0.031
Se 0.647 0.371 0.531
Se 0.859 0.630 0.469
Se 0.859 0.870 0.969
Cl 0.456 0.201 0.335
Cl 0.456 0.299 0.835
Cl 0.544 0.701 0.165
Cl 0.544 0.799 0.665
F 0.043 0.677 0.922
F 0.043 0.823 0.422
F 0.957 0.177 0.578
F 0.957 0.323 0.078

# TaFeCu2Br

A geometry-optimized TaFeCu2Br structure (PBE, Alexandria).

Properties
- symmetry = P4/mmm, No. 123
- D(E_F) (states/eV/f.u.) = 4.7
- V (Å³ per cell) = 95.44
- uncorrected energy (eV per atom) = -4.51

Lattice parameters (Å, degrees): 4.456 4.456 4.806 90.00 90.00 90.00
Fractional coordinates of all 5 atoms:
Ta 0.000 0.000 0.000
Fe 0.500 0.500 0.000
Cu 0.000 0.500 0.500
Cu 0.500 0.000 0.500
Br 0.000 0.000 0.500

# NdHo2TeO8

A geometry-optimized NdHo2TeO8 structure (PBE, Alexandria).

Properties
- symmetry = Cmmm, No. 65
- D(E_F) (states/eV/f.u.) = 4.5
- V (Å³ per cell) = 176.65
- uncorrected energy (eV per atom) = -7.22

Lattice parameters (Å, degrees): 5.013 5.013 7.029 90.00 90.00 90.58
Fractional coordinates of all 12 atoms:
Nd 0.000 0.000 0.000
Ho 0.500 0.500 0.261
Ho 0.500 0.500 0.739
Te 0.000 0.000 0.500
O 0.185 0.815 0.294
O 0.185 0.815 0.706
O 0.278 0.278 0.500
O 0.321 0.321 0.000
O 0.679 0.679 0.000
O 0.722 0.722 0.500
O 0.815 0.185 0.294
O 0.815 0.185 0.706

# TmHf2Mo

A geometry-optimized TmHf2Mo structure (PBE, Alexandria).

Properties
- symmetry = P4/mmm, No. 123
- D(E_F) (states/eV/f.u.) = 5.5
- formation energy (eV/atom) = 0.04
- V (Å³ per cell) = 89.02
- relative energy among the computed polymorphs (eV per atom) = 0.000
- uncorrected energy (eV per atom) = -8.76

Lattice parameters (Å, degrees): 3.403 3.403 7.687 90.00 90.00 90.00
Fractional coordinates of all 4 atoms:
Tm 0.000 0.000 0.000
Hf 0.500 0.500 0.302
Hf 0.500 0.500 0.698
Mo 0.000 0.000 0.500

# MgMn3Sn

A geometry-optimized MgMn3Sn structure (PBE, Alexandria).

Properties
- symmetry = Pm-3m, No. 221
- D(E_F) (states/eV/f.u.) = 6.4
- formation energy (eV/atom) = 1.52
- V (Å³ per cell) = 216.25
- uncorrected energy (eV per atom) = -5.10

Lattice parameters (Å, degrees): 6.002 6.002 6.002 90.00 90.00 90.00
Fractional coordinates of all 5 atoms:
Mg 0.000 0.000 0.000
Mn 0.000 0.500 0.500
Mn 0.500 0.000 0.500
Mn 0.500 0.500 0.000
Sn 0.500 0.500 0.500

# VAgTe2

A geometry-optimized VAgTe2 structure (PBE, Alexandria).

Properties
- symmetry = R3m, No. 160
- D(E_F) (states/eV/f.u.) = 1.1
- V (Å³ per cell) = 91.10
- uncorrected energy (eV per atom) = -4.65

Lattice parameters (Å, degrees): 8.106 8.106 8.106 26.14 26.14 26.14
Fractional coordinates of all 4 atoms:
V 0.000 0.000 0.000
Ag 0.164 0.164 0.164
Te 0.594 0.594 0.594
Te 0.738 0.738 0.738

# CaCo2Au

A geometry-optimized CaCo2Au structure (PBE, Alexandria).

Properties
- symmetry = I4/mmm, No. 139
- D(E_F) (states/eV/f.u.) = 6.5
- formation energy (eV/atom) = 0.26
- V (Å³ per cell) = 66.54
- uncorrected energy (eV per atom) = -4.61

Lattice parameters (Å, degrees): 5.068 5.068 5.068 133.87 133.87 67.29
Fractional coordinates of all 4 atoms:
Ca 0.000 0.000 0.000
Co 0.250 0.750 0.500
Co 0.750 0.250 0.500
Au 0.500 0.500 0.000

# Ti2Be3Ni

A geometry-optimized Ti2Be3Ni structure (PBE, Alexandria).

Properties
- symmetry = R-3m, No. 166
- D(E_F) (states/eV/f.u.) = 5.7
- formation energy (eV/atom) = -0.29
- V (Å³ per cell) = 68.16
- uncorrected energy (eV per atom) = -5.75

Lattice parameters (Å, degrees): 4.580 4.580 4.580 60.14 60.14 60.14
Fractional coordinates of all 6 atoms:
Ti 0.124 0.124 0.124
Ti 0.876 0.876 0.876
Be 0.000 0.500 0.500
Be 0.500 0.000 0.500
Be 0.500 0.500 0.000
Ni 0.500 0.500 0.500

# AlCd3O

A geometry-optimized AlCd3O structure (PBE, Alexandria).

Properties
- symmetry = Pm-3m, No. 221
- D(E_F) (states/eV/f.u.) = 16.0
- V (Å³ per cell) = 135.52
- relative energy among the computed polymorphs (eV per atom) = 0.652
- uncorrected energy (eV per atom) = -1.65

Lattice parameters (Å, degrees): 5.137 5.137 5.137 90.00 90.00 90.00
Fractional coordinates of all 5 atoms:
Al 0.000 0.000 0.000
Cd 0.000 0.000 0.500
Cd 0.000 0.500 0.000
Cd 0.500 0.000 0.000
O 0.500 0.500 0.500

# Mo5S8

A geometry-optimized Mo5S8 structure (PBE, Alexandria).

Properties
- symmetry = C2/m, No. 12
- D(E_F) (states/eV/f.u.) = 9.4
- V (Å³ per cell) = 232.15
- uncorrected energy (eV per atom) = -7.34

Lattice parameters (Å, degrees): 6.646 6.646 8.260 126.09 126.09 60.43
Fractional coordinates of all 13 atoms:
Mo 0.000 0.000 0.000
Mo 0.283 0.717 0.500
Mo 0.284 0.284 0.510
Mo 0.716 0.716 0.490
Mo 0.717 0.283 0.500
S 0.193 0.193 0.708
S 0.198 0.717 0.749
S 0.283 0.802 0.251
S 0.286 0.286 0.218
S 0.714 0.714 0.782
S 0.717 0.198 0.749
S 0.802 0.283 0.251
S 0.807 0.807 0.292

# Rb3AlTe

A geometry-optimized Rb3AlTe structure (PBE, Alexandria).

Properties
- symmetry = Pm-3m, No. 221
- D(E_F) (states/eV/f.u.) = 5.9
- V (Å³ per cell) = 339.60
- relative energy among the computed polymorphs (eV per atom) = 0.000
- uncorrected energy (eV per atom) = -2.03

Lattice parameters (Å, degrees): 6.977 6.977 6.977 90.00 90.00 90.00
Fractional coordinates of all 5 atoms:
Rb 0.000 0.000 0.500
Rb 0.000 0.500 0.000
Rb 0.500 0.000 0.000
Al 0.500 0.500 0.500
Te 0.000 0.000 0.000